No. 1
The following is a PBE calculation of crystalline TbNd2DyY6 at its relaxed geometry, from Alexandria via LeMat-Bulk.

Values from the calculation:
* E_form: 1.13 eV per formula unit

Cell: 8.7979 8.7979 9.8087 Å, 95.07 95.07 117.77°
Last column: nearest neighbours and their distance in Å.
Fractional positions:
Tb1 0.0181 0.9819 0.7500  4 Nd 3.35-3.40, 4 Y 3.58-3.64
Tb2 0.9819 0.0181 0.2500  4 Nd 3.35-3.40, 4 Y 3.58-3.64
Nd1 0.1929 0.2927 0.5441  5 Y 3.28-3.52, 2 Tb 3.35-3.40, 1 Dy 3.55
Nd2 0.2927 0.1929 0.0441  5 Y 3.28-3.52, 2 Tb 3.35-3.40, 1 Dy 3.55
Nd3 0.7073 0.8071 0.9559  5 Y 3.28-3.52, 2 Tb 3.35-3.40, 1 Dy 3.55
Nd4 0.8071 0.7073 0.4559  5 Y 3.28-3.52, 2 Tb 3.35-3.40, 1 Dy 3.55
Dy1 0.4061 0.5939 0.2500  8 Y 3.44-3.78, 2 Nd 3.55
Dy2 0.5939 0.4061 0.7500  8 Y 3.44-3.78, 2 Nd 3.55
Y1 0.0199 0.5757 0.6861  3 Y 3.28-3.67, 1 Nd 3.42, 1 Dy 3.47, 1 Tb 3.58
Y2 0.1225 0.7449 0.0568  8 Y 3.43-3.81, 1 Nd 3.52, 1 Tb 3.64, 1 Dy 3.78
Y3 0.2551 0.8775 0.4432  8 Y 3.43-3.81, 1 Nd 3.52, 1 Tb 3.64, 1 Dy 3.78
Y4 0.2951 0.5038 0.8818  3 Nd 3.28-3.47, 4 Y 3.28-3.55, 2 Dy 3.44-3.57
Y5 0.4243 0.9801 0.8139  3 Y 3.28-3.67, 1 Nd 3.42, 1 Dy 3.47, 1 Tb 3.58
Y6 0.4962 0.7049 0.6182  3 Nd 3.28-3.47, 4 Y 3.28-3.55, 2 Dy 3.44-3.57
Y7 0.5038 0.2951 0.3818  3 Nd 3.28-3.47, 4 Y 3.28-3.55, 2 Dy 3.44-3.57
Y8 0.5757 0.0199 0.1861  3 Y 3.28-3.67, 1 Nd 3.42, 1 Dy 3.47, 1 Tb 3.58
Y9 0.7049 0.4962 0.1182  3 Nd 3.28-3.47, 4 Y 3.28-3.55, 2 Dy 3.44-3.57
Y10 0.7449 0.1225 0.5568  8 Y 3.43-3.81, 1 Nd 3.52, 1 Tb 3.64, 1 Dy 3.78
Y11 0.8775 0.2551 0.9432  8 Y 3.43-3.81, 1 Nd 3.52, 1 Tb 3.64, 1 Dy 3.78
Y12 0.9801 0.4243 0.3139  3 Y 3.28-3.67, 1 Nd 3.42, 1 Dy 3.47, 1 Tb 3.58

***

No. 2
The following is a PBE calculation of crystalline Cs3TiS4 at its relaxed geometry, from Alexandria via LeMat-Bulk.

Values from the calculation:
* raw formation energy: -9.48 eV/f.u.

Cell: 8.4306 8.4306 8.4306 Å, 140.14 68.27 127.06°
Last column: nearest neighbours and their distance in Å.
Fractional positions:
Cs1 0.0000 0.0000 0.0000  6 S 3.49-3.70, 2 Ti 3.89
Cs2 0.0518 0.7669 0.2849  5 S 3.54-3.60
Cs3 0.4821 0.7669 0.7151  5 S 3.54-3.60
Ti1 0.6517 0.1517 0.5000  4 S 2.27-2.28
S1 0.4309 0.2026 0.7717  1 Ti 2.28
S2 0.4309 0.6592 0.2283  1 Ti 2.28
S3 0.6838 0.3195 0.3643  1 Ti 2.27
S4 0.9551 0.3195 0.6357  1 Ti 2.27

***

No. 3
The following is a PBE calculation of crystalline TaIn3Co at its relaxed geometry, from Alexandria via LeMat-Bulk.

Values from the calculation:
* E_form: 4.32 eV per formula unit

Cell: 4.8003 4.8003 4.8003 Å, 90.00 90.00 90.00°
Last column: nearest neighbours and their distance in Å.
Fractional positions:
Ta1 0.0000 0.0000 0.0000  12 In 3.39
In1 0.0000 0.5000 0.5000  2 Co 2.40
In2 0.5000 0.0000 0.5000  2 Co 2.40
In3 0.5000 0.5000 0.0000  2 Co 2.40
Co1 0.5000 0.5000 0.5000  6 In 2.40

***

No. 4
The following is a PBE calculation of crystalline AcTb5PrNd2 at its relaxed geometry, from Alexandria via LeMat-Bulk.

Values from the calculation:
* E_form: 2.35 eV per formula unit

Cell: 10.1171 10.1171 10.1171 Å, 127.72 127.72 77.07°
Last column: nearest neighbours and their distance in Å.
Fractional positions:
Ac1 0.2500 0.7500 0.5000  4 Tb 3.25
Ac2 0.7500 0.2500 0.5000  4 Tb 3.25
Tb1 0.0000 0.0000 0.0000  4 Nd 3.58, 8 Tb 3.81, 2 Pr 3.96
Tb2 0.0794 0.5794 0.9231  1 Nd 3.02, 1 Ac 3.25
Tb3 0.1563 0.0794 0.5000  1 Nd 3.02, 1 Ac 3.25
Tb4 0.3437 0.8437 0.9231  1 Nd 3.02, 1 Ac 3.25
Tb5 0.4206 0.3437 0.5000  1 Nd 3.02, 1 Ac 3.25
Tb6 0.5000 0.5000 0.0000  4 Nd 3.58, 8 Tb 3.81, 2 Pr 3.96
Tb7 0.5794 0.6563 0.5000  1 Nd 3.02, 1 Ac 3.25
Tb8 0.6563 0.1563 0.0769  1 Nd 3.02, 1 Ac 3.25
Tb9 0.8437 0.9206 0.5000  1 Nd 3.02, 1 Ac 3.25
Tb10 0.9206 0.4206 0.0769  1 Nd 3.02, 1 Ac 3.25
Pr1 0.2500 0.2500 0.0000  10 Tb 3.69-3.96
Pr2 0.7500 0.7500 0.0000  10 Tb 3.69-3.96
Nd1 0.1153 0.3847 0.5000  1 Nd 2.91, 2 Tb 3.02
Nd2 0.3847 0.8847 0.2695  1 Nd 2.91, 2 Tb 3.02
Nd3 0.6153 0.1153 0.7305  1 Nd 2.91, 2 Tb 3.02
Nd4 0.8847 0.6153 0.5000  1 Nd 2.91, 2 Tb 3.02

***

No. 5
The following is a PBE calculation of crystalline K3In3Pb8 at its relaxed geometry, from Alexandria via LeMat-Bulk.

Values from the calculation:
* E_form: -1.43 eV per formula unit

Cell: 9.7853 9.7853 9.7853 Å, 147.64 106.53 82.58°
Last column: nearest neighbours and their distance in Å.
Fractional positions:
K1 0.0000 0.0000 0.0000  12 Pb 3.71-4.10, 2 K 4.08
K2 0.2775 0.2775 0.0000  2 In 3.67, 10 Pb 3.79-3.90, 1 K 4.08
K3 0.7225 0.7225 0.0000  2 In 3.67, 10 Pb 3.79-3.90, 1 K 4.08
In1 0.3584 0.5000 0.8584  2 Pb 3.12, 3 In 3.19-3.32
In2 0.5000 0.0000 0.5000  4 In 3.19, 4 Pb 3.30
In3 0.6416 0.5000 0.1416  2 Pb 3.12, 3 In 3.19-3.32
Pb1 0.0176 0.3729 0.6447  1 In 3.12, 4 Pb 3.26-3.39
Pb2 0.1410 0.8478 0.2933  3 Pb 3.26-3.33, 3 In 3.30-3.61
Pb3 0.2718 0.6271 0.6447  1 In 3.12, 4 Pb 3.26-3.39
Pb4 0.4455 0.1522 0.2933  3 Pb 3.26-3.33, 3 In 3.30-3.61
Pb5 0.5545 0.8478 0.7067  3 Pb 3.26-3.33, 3 In 3.30-3.61
Pb6 0.7282 0.3729 0.3553  1 In 3.12, 4 Pb 3.26-3.39
Pb7 0.8590 0.1522 0.7067  3 Pb 3.26-3.33, 3 In 3.30-3.61
Pb8 0.9824 0.6271 0.3553  1 In 3.12, 4 Pb 3.26-3.39

***

No. 6
The following is a PBE calculation of crystalline AcLa4Pm3S8 at its relaxed geometry, from Alexandria via LeMat-Bulk.

Values from the calculation:
* raw formation energy: -33.43 eV/f.u.

Cell: 8.2601 8.2601 8.2601 Å, 60.05 60.05 60.05°
Last column: nearest neighbours and their distance in Å.
Fractional positions:
Ac1 0.0000 0.0000 0.0000  6 S 2.96
La1 0.0000 0.0000 0.5000  6 S 2.95-2.96
La2 0.0000 0.5000 0.0000  6 S 2.95-2.96
La3 0.5000 0.0000 0.0000  6 S 2.95-2.96
La4 0.5000 0.5000 0.5000  6 S 2.88
Pm1 0.0000 0.5000 0.5000  6 S 2.89
Pm2 0.5000 0.0000 0.5000  6 S 2.89
Pm3 0.5000 0.5000 0.0000  6 S 2.89
S1 0.2527 0.2527 0.2527  3 Pm 2.89, 3 La 2.95
S2 0.2534 0.2534 0.7406  3 La 2.88-2.96, 2 Pm 2.89, 1 Ac 2.96
S3 0.2534 0.7406 0.2534  3 La 2.88-2.96, 2 Pm 2.89, 1 Ac 2.96
S4 0.2594 0.7466 0.7466  3 La 2.88-2.96, 2 Pm 2.89, 1 Ac 2.96
S5 0.7406 0.2534 0.2534  3 La 2.88-2.96, 2 Pm 2.89, 1 Ac 2.96
S6 0.7466 0.2594 0.7466  3 La 2.88-2.96, 2 Pm 2.89, 1 Ac 2.96
S7 0.7466 0.7466 0.2594  3 La 2.88-2.96, 2 Pm 2.89, 1 Ac 2.96
S8 0.7473 0.7473 0.7473  3 Pm 2.89, 3 La 2.95

***

No. 7
The following is a PBE calculation of crystalline TlSnAu2 at its relaxed geometry, from Alexandria via LeMat-Bulk.

Values from the calculation:
* E_form: 0.04 eV per formula unit

Cell: 5.0652 5.0652 5.0652 Å, 60.00 60.00 60.00°
Last column: nearest neighbours and their distance in Å.
Fractional positions:
Tl1 0.0000 0.0000 0.0000  8 Au 3.10
Sn1 0.5000 0.5000 0.5000  8 Au 3.10
Au1 0.2500 0.2500 0.2500  4 Tl 3.10, 4 Sn 3.10
Au2 0.7500 0.7500 0.7500  4 Tl 3.10, 4 Sn 3.10

***

No. 8
The following is a PBE calculation of crystalline BaIn2HAu at its relaxed geometry, from Alexandria via LeMat-Bulk.

Values from the calculation:
* DFT total energy: -15.85 eV per formula unit

Cell: 6.8759 6.8759 8.0693 Å, 90.00 90.00 141.43°
Last column: nearest neighbours and their distance in Å.
Fractional positions:
Ba1 0.0513 0.9487 0.7500  4 H 3.11
Ba2 0.9487 0.0513 0.2500  4 H 3.11
In1 0.3327 0.6673 0.5550  1 H 2.22
In2 0.3327 0.6673 0.9450  1 H 2.22
In3 0.6673 0.3327 0.0550  1 H 2.22
In4 0.6673 0.3327 0.4450  1 H 2.22
H1 0.5000 0.5000 0.0000  2 In 2.22
H2 0.5000 0.5000 0.5000  2 In 2.22
Au1 0.2225 0.7775 0.2500  6 In 2.85
Au2 0.7775 0.2225 0.7500  6 In 2.85